Density functional theory data (PBE) for a relaxed LaDyCdBi crystal.

Values from the calculation:
DOS at the Fermi energy in states/eV per cell: 3.95
Crystal system: cubic
V in Å³/atom: 29.592
Formation energy in eV per atom: -0.4788

abc: 5.5113 5.5113 5.5113
angles: 60.00 60.00 60.00
Atoms (fractional coordinates):
Dy  0.7500  0.7500  0.7500
La  0.2500  0.2500  0.2500
Cd  0.0000  0.0000  0.0000
Bi  0.5000  0.5000  0.5000


Density functional theory data (PBE) for a relaxed CuAgN3 crystal.

Values from the calculation:
DOS at the Fermi energy in states/eV per cell: 2.59
Crystal system: cubic
V in Å³/atom: 13.315
Energy relative to the elements, uncorrected in meV per atom: 2691.1

abc: 4.0529 4.0529 4.0529
angles: 90.00 90.00 90.00
Atoms (fractional coordinates):
N  0.0000  0.0000  0.5000
N  0.0000  0.5000  0.0000
Ag  0.0000  0.0000  0.0000
N  0.5000  0.0000  0.0000
Cu  0.5000  0.5000  0.5000


What did the second record say?
Density functional theory data (PBE) for a relaxed CuAgN3 crystal.

Values from the calculation:
DOS at the Fermi energy in states/eV per cell: 2.59
Crystal system: cubic
V in Å³/atom: 13.315
Energy relative to the elements, uncorrected in meV per atom: 2691.1

abc: 4.0529 4.0529 4.0529
angles: 90.00 90.00 90.00
Atoms (fractional coordinates):
N  0.0000  0.0000  0.5000
N  0.0000  0.5000  0.0000
Ag  0.0000  0.0000  0.0000
N  0.5000  0.0000  0.0000
Cu  0.5000  0.5000  0.5000


- Among the records above, which one has the lowest DOS at the Fermi energy?
  CuAgN3


- Among the records above, which one has the lowest DOS at the Fermi energy?
  CuAgN3